No. 1
SmIrAu: relaxed, PBE-GGA.

As for the total magnetization: 0.00 μB per cell. Its formation energy is -332 meV per atom. Its symmetry is C2/m, No. 12. Its calculated volume is 20.7 Å³ per atom.

Geometry as CIF:
```
data_SmIrAu
_cell_length_a 5.7082
_cell_length_b 5.7082
_cell_length_c 5.9185
_cell_angle_alpha 80.52
_cell_angle_beta 129.08
_cell_angle_gamma 121.14
_space_group_name_H-M_alt 'P 1'
_space_group_IT_number 1
loop_
_space_group_symop_operation_xyz
'x,y,z'
loop_
_atom_site_label
_atom_site_fract_x
_atom_site_fract_y
_atom_site_fract_z
_atom_site_occupancy
Sm1 0.2525 0.6276 0.8800 1
Sm2 0.7475 0.3724 0.1200 1
Au1 0.0000 0.0000 0.5000 1
Au2 0.5000 0.5000 0.5000 1
Ir1 0.2550 0.9478 0.2028 1
Ir2 0.7450 0.0522 0.7972 1
```



No. 2
CoSIN2: relaxed, PBE-GGA.

As for the total magnetization: 0.32 μB per cell. The calculation puts the uncorrected formation energy at 1260 meV/atom. Its symmetry is P4/mmm, No. 123. Its calculated volume is 20.7 Å³ per atom.

Geometry as CIF:
```
data_CoSIN2
_cell_length_a 3.6468
_cell_length_b 3.6468
_cell_length_c 7.7646
_cell_angle_alpha 90.00
_cell_angle_beta 90.00
_cell_angle_gamma 90.00
_space_group_name_H-M_alt 'P 1'
_space_group_IT_number 1
loop_
_space_group_symop_operation_xyz
'x,y,z'
loop_
_atom_site_label
_atom_site_fract_x
_atom_site_fract_y
_atom_site_fract_z
_atom_site_occupancy
I1 0.5000 0.5000 0.5000 1
S1 0.0000 0.0000 0.5000 1
Co1 0.0000 0.0000 0.0000 1
N1 0.0000 0.5000 0.0000 1
N2 0.5000 0.0000 0.0000 1
```



No. 3
PmDy3Pb4: relaxed, PBE-GGA.

As for the total magnetization: 0.00 μB per cell. Its formation energy is -451 meV per atom. Its symmetry is Pmna, No. 53. Its calculated volume is 29.1 Å³ per atom.

Geometry as CIF:
```
data_PmDy3Pb4
_cell_length_a 6.4481
_cell_length_b 6.4465
_cell_length_c 11.1981
_cell_angle_alpha 90.00
_cell_angle_beta 90.00
_cell_angle_gamma 90.00
_space_group_name_H-M_alt 'P 1'
_space_group_IT_number 1
loop_
_space_group_symop_operation_xyz
'x,y,z'
loop_
_atom_site_label
_atom_site_fract_x
_atom_site_fract_y
_atom_site_fract_z
_atom_site_occupancy
Pm1 0.9394 0.5002 0.0000 1
Pm2 0.4394 0.4998 0.5000 1
Dy1 0.4393 0.0002 0.0000 1
Dy2 0.1894 0.7508 0.2500 1
Dy3 0.6894 0.2492 0.2500 1
Dy4 0.9393 0.9998 0.5000 1
Dy5 0.6894 0.2492 0.7500 1
Dy6 0.1894 0.7508 0.7500 1
Pb1 0.9393 0.0001 0.0000 1
Pb2 0.4395 0.5003 0.0000 1
Pb3 0.1895 0.2499 0.2498 1
Pb4 0.6895 0.7501 0.2502 1
Pb5 0.9395 0.4997 0.5000 1
Pb6 0.4393 0.9999 0.5000 1
Pb7 0.6895 0.7501 0.7498 1
Pb8 0.1895 0.2499 0.7502 1
```



No. 4
Na2ZnSi: relaxed, PBE-GGA.

As for the total magnetization: 0.00 μB per cell. The calculation puts the uncorrected formation energy at 359 meV/atom. Its symmetry is I-42d, No. 122. Its calculated volume is 22.8 Å³ per atom.

Geometry as CIF:
```
data_Na2ZnSi
_cell_length_a 8.2648
_cell_length_b 8.2648
_cell_length_c 6.4258
_cell_angle_alpha 49.98
_cell_angle_beta 49.98
_cell_angle_gamma 90.00
_space_group_name_H-M_alt 'P 1'
_space_group_IT_number 1
loop_
_space_group_symop_operation_xyz
'x,y,z'
loop_
_atom_site_label
_atom_site_fract_x
_atom_site_fract_y
_atom_site_fract_z
_atom_site_occupancy
Na1 0.6218 0.1250 0.2500 1
Na2 0.1282 0.6250 0.2500 1
Na3 0.3750 0.3782 0.7500 1
Na4 0.8750 0.8718 0.7500 1
Zn1 0.0000 0.0000 0.0000 1
Zn2 0.7500 0.2500 0.5000 1
Si1 0.5000 0.5000 0.0000 1
Si2 0.2500 0.7500 0.5000 1
```